Entry 1:
# AlV2Bi | the Alexandria database | PBE | relaxed
data_AlV2Bi
_chemical_formula_sum 'Al4 V8 Bi4'
_symmetry_space_group_name_H-M 'F m -3 m'
_symmetry_Int_Tables_number 225
_symmetry_space_group_name_Hall '-F 4 2 3'
_cell_length_a 6.6523
_cell_length_b 6.6523
_cell_length_c 6.6523
_cell_angle_alpha 90.00
_cell_angle_beta 90.00
_cell_angle_gamma 90.00
loop_
_atom_site_label
_atom_site_type_symbol
_atom_site_fract_x
_atom_site_fract_y
_atom_site_fract_z
Al1 Al 0.0000 0.0000 0.0000
V1 V 0.2500 0.2500 0.2500
Bi1 Bi 0.0000 0.0000 0.5000
# * magnetization: 5.28 μB/f.u.
# * total DFT energy (no corrections): -6.05 eV/atom
# * D(E_F): 1.004 states/eV per atom
# * density: 7.6 g cm⁻³
# * E_form: 40.5 kJ/mol of atoms

Entry 2:
# Al2VBi | the Alexandria database | PBE | relaxed
data_Al2VBi
_chemical_formula_sum 'Al8 V4 Bi4'
_symmetry_space_group_name_H-M 'I -4 2 d'
_symmetry_Int_Tables_number 122
_symmetry_space_group_name_Hall 'I -4 2bw'
_cell_length_a 7.9039
_cell_length_b 7.9039
_cell_length_c 5.5869
_cell_angle_alpha 90.00
_cell_angle_beta 90.00
_cell_angle_gamma 90.00
loop_
_atom_site_label
_atom_site_type_symbol
_atom_site_fract_x
_atom_site_fract_y
_atom_site_fract_z
Al1 Al 0.2265 0.7500 0.1250
V1 V 0.0000 0.0000 0.0000
Bi1 Bi 0.0000 0.0000 0.5000
# * magnetization: 2.62 μB/f.u.
# * total DFT energy (no corrections): -4.58 eV/atom
# * D(E_F): 1.109 states/eV per atom
# * density: 6.0 g cm⁻³
# * E_form: 52.1 kJ/mol of atoms

Entry 3:
# Al4VBi2 | the Alexandria database | PBE | relaxed
data_Al4VBi2
_chemical_formula_sum 'Al8 V2 Bi4'
_symmetry_space_group_name_H-M 'I 4/m m m'
_symmetry_Int_Tables_number 139
_symmetry_space_group_name_Hall '-I 4 2'
_cell_length_a 4.9726
_cell_length_b 4.9726
_cell_length_c 14.4422
_cell_angle_alpha 90.00
_cell_angle_beta 90.00
_cell_angle_gamma 90.00
loop_
_atom_site_label
_atom_site_type_symbol
_atom_site_fract_x
_atom_site_fract_y
_atom_site_fract_z
Al1 Al 0.0000 0.0000 0.1728
Al2 Al 0.0000 0.5000 0.0000
V1 V 0.0000 0.0000 0.0000
Bi1 Bi 0.0000 0.0000 0.3710
# * magnetization: 0.00 μB/f.u.
# * total DFT energy (no corrections): -3.99 eV/atom
# * D(E_F): 0.818 states/eV per atom
# * density: 5.4 g cm⁻³
# * E_form: 53.8 kJ/mol of atoms